Record 1
# Cs3Fe2Br9 GGA-PBE optimized geometry
# D(E_F): 1.1 states/eV/f.u.
# Formation energy (no corrections): -1.032 eV/atom
# VASP energy: -3.50 eV per atom
# Crystal system: trigonal
data_Cs3Fe2Br9
_symmetry_space_group_name_H-M 'P -3 m 1'
_symmetry_Int_Tables_number 164
_symmetry_space_group_name_Hall '-P 3 2"'
_cell_length_a 7.6872
_cell_length_b 7.6872
_cell_length_c 9.5320
_cell_angle_alpha 90.00
_cell_angle_beta 90.00
_cell_angle_gamma 120.00
loop_
_atom_site_label
_atom_site_type_symbol
_atom_site_fract_x
_atom_site_fract_y
_atom_site_fract_z
Cs1 Cs 0.0000 0.0000 0.0000
Cs2 Cs 0.3333 0.6667 0.3260
Fe1 Fe 0.3333 0.6667 0.8123
Br1 Br 0.0000 0.5000 0.0000
Br2 Br 0.1752 0.3504 0.6837

Record 2
# CsFeBr2 GGA-PBE optimized geometry
# D(E_F): 0.6 states/eV/f.u.
# Formation energy (no corrections): -0.671 eV/atom
# VASP energy: -3.84 eV per atom
# ΔE to the lowest computed polymorph: 0 meV per atom
# Crystal system: tetragonal
data_CsFeBr2
_symmetry_space_group_name_H-M 'I -4 2 d'
_symmetry_Int_Tables_number 122
_symmetry_space_group_name_Hall 'I -4 2bw'
_cell_length_a 8.077
_cell_length_b 8.077
_cell_length_c 8.197
_cell_angle_alpha 90.00
_cell_angle_beta 90.00
_cell_angle_gamma 90.00
loop_
_atom_site_label
_atom_site_type_symbol
_atom_site_fract_x
_atom_site_fract_y
_atom_site_fract_z
Cs1 Cs 0.000 0.000 0.000
Fe1 Fe 0.000 0.000 0.500
Br1 Br 0.137 0.750 0.625

Record 3
# Cs3Fe5Br12 GGA-PBE optimized geometry
# D(E_F): 22.9 states/eV/f.u.
# Formation energy (no corrections): -0.729 eV/atom
# VASP energy: -3.98 eV per atom
# Crystal system: cubic
data_Cs3Fe5Br12
_symmetry_space_group_name_H-M 'I a -3 d'
_symmetry_Int_Tables_number 230
_symmetry_space_group_name_Hall '-I 4bd 2c 3'
_cell_length_a 17.403
_cell_length_b 17.403
_cell_length_c 17.403
_cell_angle_alpha 90.00
_cell_angle_beta 90.00
_cell_angle_gamma 90.00
loop_
_atom_site_label
_atom_site_type_symbol
_atom_site_fract_x
_atom_site_fract_y
_atom_site_fract_z
Cs1 Cs 0.000 0.250 0.125
Fe1 Fe 0.000 0.000 0.000
Fe2 Fe 0.000 0.250 0.375
Br1 Br 0.042 0.045 0.643

Record 4
# CsFeBr2 GGA-PBE optimized geometry
# D(E_F): 19.5 states/eV/f.u.
# Formation energy (no corrections): -0.169 eV/atom
# VASP energy: -3.33 eV per atom
# ΔE to the lowest computed polymorph: 501 meV per atom
# Crystal system: cubic
data_CsFeBr2
_symmetry_space_group_name_H-M 'F m -3 m'
_symmetry_Int_Tables_number 225
_symmetry_space_group_name_Hall '-F 4 2 3'
_cell_length_a 7.965
_cell_length_b 7.965
_cell_length_c 7.965
_cell_angle_alpha 90.00
_cell_angle_beta 90.00
_cell_angle_gamma 90.00
loop_
_atom_site_label
_atom_site_type_symbol
_atom_site_fract_x
_atom_site_fract_y
_atom_site_fract_z
Cs1 Cs 0.000 0.000 0.000
Fe1 Fe 0.000 0.000 0.500
Br1 Br 0.250 0.250 0.250

Record 5
# Cs6Fe3Br14 GGA-PBE optimized geometry
# D(E_F): 11.6 states/eV/f.u.
# Formation energy (no corrections): -1.201 eV/atom
# VASP energy: -3.55 eV per atom
# Crystal system: trigonal
data_Cs6Fe3Br14
_symmetry_space_group_name_H-M 'P 3'
_symmetry_Int_Tables_number 143
_symmetry_space_group_name_Hall 'P 3'
_cell_length_a 12.9630
_cell_length_b 12.9630
_cell_length_c 6.8385
_cell_angle_alpha 90.00
_cell_angle_beta 90.00
_cell_angle_gamma 120.00
loop_
_atom_site_label
_atom_site_type_symbol
_atom_site_fract_x
_atom_site_fract_y
_atom_site_fract_z
Cs1 Cs 0.0257 0.5729 0.0000
Cs2 Cs 0.3090 0.0971 0.4813
Fe1 Fe 0.0000 0.0000 0.9211
Fe2 Fe 0.3333 0.6667 0.4388
Fe3 Fe 0.6667 0.3333 0.7481
Br1 Br 0.0000 0.0000 0.2703
Br2 Br 0.0671 0.8692 0.8053
Br3 Br 0.2003 0.4695 0.3207
Br4 Br 0.3333 0.6667 0.7875
Br5 Br 0.4762 0.2057 0.9620
Br6 Br 0.5402 0.3972 0.5328

Record 6
# Cs2FeBr5 GGA-PBE optimized geometry
# Formation energy (no corrections): -1.176 eV/atom
# VASP energy: -3.49 eV per atom
# Crystal system: monoclinic
data_Cs2FeBr5
_symmetry_space_group_name_H-M 'P 1 21/c 1'
_symmetry_Int_Tables_number 14
_symmetry_space_group_name_Hall '-P 2ybc'
_cell_length_a 13.705
_cell_length_b 11.371
_cell_length_c 10.648
_cell_angle_alpha 90.00
_cell_angle_beta 111.93
_cell_angle_gamma 90.00
loop_
_atom_site_label
_atom_site_type_symbol
_atom_site_fract_x
_atom_site_fract_y
_atom_site_fract_z
Cs1 Cs 0.008 0.118 0.213
Cs2 Cs 0.383 0.176 0.088
Fe1 Fe 0.302 0.575 0.050
Br1 Br 0.112 0.148 0.951
Br2 Br 0.125 0.615 0.010
Br3 Br 0.310 0.046 0.374
Br4 Br 0.380 0.027 0.758
Br5 Br 0.394 0.748 0.560

Record 7
# CsFe2Br8 GGA-PBE optimized geometry
# D(E_F): 6.3 states/eV/f.u.
# Formation energy (no corrections): -0.676 eV/atom
# VASP energy: -3.51 eV per atom
# Crystal system: monoclinic
data_CsFe2Br8
_symmetry_space_group_name_H-M 'C 1 2/m 1'
_symmetry_Int_Tables_number 12
_symmetry_space_group_name_Hall '-C 2y'
_cell_length_a 14.592
_cell_length_b 6.982
_cell_length_c 9.604
_cell_angle_alpha 90.00
_cell_angle_beta 113.56
_cell_angle_gamma 90.00
loop_
_atom_site_label
_atom_site_type_symbol
_atom_site_fract_x
_atom_site_fract_y
_atom_site_fract_z
Cs1 Cs 0.000 0.000 0.000
Fe1 Fe 0.203 0.000 0.696
Br1 Br 0.122 0.500 0.176
Br2 Br 0.135 0.260 0.771
Br3 Br 0.162 0.000 0.437

Record 8
# Cs2FeBr4 GGA-PBE optimized geometry
# D(E_F): 5.7 states/eV/f.u.
# Formation energy (no corrections): -1.183 eV/atom
# VASP energy: -3.59 eV per atom
# Crystal system: tetragonal
data_Cs2FeBr4
_symmetry_space_group_name_H-M 'I 4/m m m'
_symmetry_Int_Tables_number 139
_symmetry_space_group_name_Hall '-I 4 2'
_cell_length_a 5.423
_cell_length_b 5.423
_cell_length_c 17.685
_cell_angle_alpha 90.00
_cell_angle_beta 90.00
_cell_angle_gamma 90.00
loop_
_atom_site_label
_atom_site_type_symbol
_atom_site_fract_x
_atom_site_fract_y
_atom_site_fract_z
Cs1 Cs 0.000 0.000 0.141
Fe1 Fe 0.000 0.000 0.500
Br1 Br 0.000 0.000 0.352
Br2 Br 0.000 0.500 0.000

Record 9
# Cs2FeBr4 GGA-PBE optimized geometry
# D(E_F): 6.9 states/eV/f.u.
# Formation energy (no corrections): -1.247 eV/atom
# VASP energy: -3.66 eV per atom
# Crystal system: monoclinic
data_Cs2FeBr4
_symmetry_space_group_name_H-M 'P 1 21/m 1'
_symmetry_Int_Tables_number 11
_symmetry_space_group_name_Hall '-P 2yb'
_cell_length_a 7.638
_cell_length_b 7.827
_cell_length_c 10.422
_cell_angle_alpha 90.00
_cell_angle_beta 109.26
_cell_angle_gamma 90.00
loop_
_atom_site_label
_atom_site_type_symbol
_atom_site_fract_x
_atom_site_fract_y
_atom_site_fract_z
Cs1 Cs 0.194 0.250 0.416
Cs2 Cs 0.296 0.250 0.964
Fe1 Fe 0.305 0.750 0.218
Br1 Br 0.093 0.750 0.349
Br2 Br 0.155 0.750 0.970
Br3 Br 0.490 0.002 0.722

Record 10
# CsFe2HgBr8 GGA-PBE optimized geometry
# D(E_F): 2.8 states/eV/f.u.
# Formation energy (no corrections): -0.697 eV/atom
# VASP energy: -3.32 eV per atom
# Crystal system: monoclinic
data_CsFe2HgBr8
_symmetry_space_group_name_H-M 'C 1 2/m 1'
_symmetry_Int_Tables_number 12
_symmetry_space_group_name_Hall '-C 2y'
_cell_length_a 11.300
_cell_length_b 7.921
_cell_length_c 10.625
_cell_angle_alpha 90.00
_cell_angle_beta 100.41
_cell_angle_gamma 90.00
loop_
_atom_site_label
_atom_site_type_symbol
_atom_site_fract_x
_atom_site_fract_y
_atom_site_fract_z
Cs1 Cs 0.000 0.000 0.000
Fe1 Fe 0.104 0.500 0.285
Hg1 Hg 0.000 0.000 0.500
Br1 Br 0.021 0.259 0.711
Br2 Br 0.184 0.500 0.095
Br3 Br 0.248 0.500 0.479

Record 11
# Cs2FeHgBr6 GGA-PBE optimized geometry
# D(E_F): 1.8 states/eV/f.u.
# Formation energy (no corrections): -0.973 eV/atom
# VASP energy: -3.02 eV per atom
# Crystal system: tetragonal
data_Cs2FeHgBr6
_symmetry_space_group_name_H-M 'I 4/m m m'
_symmetry_Int_Tables_number 139
_symmetry_space_group_name_Hall '-I 4 2'
_cell_length_a 7.839
_cell_length_b 7.839
_cell_length_c 11.229
_cell_angle_alpha 90.00
_cell_angle_beta 90.00
_cell_angle_gamma 90.00
loop_
_atom_site_label
_atom_site_type_symbol
_atom_site_fract_x
_atom_site_fract_y
_atom_site_fract_z
Cs1 Cs 0.000 0.500 0.250
Fe1 Fe 0.000 0.000 0.000
Hg1 Hg 0.000 0.000 0.500
Br1 Br 0.000 0.000 0.227
Br2 Br 0.237 0.237 0.000

Record 12
# CsFe2I6Br2 GGA-PBE optimized geometry
# D(E_F): 8.2 states/eV/f.u.
# Formation energy (no corrections): -0.446 eV/atom
# VASP energy: -3.21 eV per atom
# Crystal system: trigonal
data_CsFe2I6Br2
_symmetry_space_group_name_H-M 'P -3'
_symmetry_Int_Tables_number 147
_symmetry_space_group_name_Hall '-P 3'
_cell_length_a 7.8360
_cell_length_b 7.8360
_cell_length_c 11.4422
_cell_angle_alpha 90.00
_cell_angle_beta 90.00
_cell_angle_gamma 120.00
loop_
_atom_site_label
_atom_site_type_symbol
_atom_site_fract_x
_atom_site_fract_y
_atom_site_fract_z
Cs1 Cs 0.0000 0.0000 0.0000
Fe1 Fe 0.3333 0.6667 0.7241
I1 I 0.0066 0.4401 0.1933
Br1 Br 0.3333 0.6667 0.5238

Record 13
# CsFeI2Br GGA-PBE optimized geometry
# D(E_F): 5.2 states/eV/f.u.
# Formation energy (no corrections): -0.680 eV/atom
# VASP energy: -3.50 eV per atom
# Crystal system: tetragonal
data_CsFeI2Br
_symmetry_space_group_name_H-M 'P 4/m m m'
_symmetry_Int_Tables_number 123
_symmetry_space_group_name_Hall '-P 4 2'
_cell_length_a 5.806
_cell_length_b 5.806
_cell_length_c 5.279
_cell_angle_alpha 90.00
_cell_angle_beta 90.00
_cell_angle_gamma 90.00
loop_
_atom_site_label
_atom_site_type_symbol
_atom_site_fract_x
_atom_site_fract_y
_atom_site_fract_z
Cs1 Cs 0.000 0.000 0.000
Fe1 Fe 0.500 0.500 0.500
I1 I 0.000 0.500 0.500
Br1 Br 0.500 0.500 0.000

Record 14
# CsKFe2Br6 GGA-PBE optimized geometry
# D(E_F): 10.8 states/eV/f.u.
# Formation energy (no corrections): -0.958 eV/atom
# VASP energy: -3.85 eV per atom
# Crystal system: monoclinic
data_CsKFe2Br6
_symmetry_space_group_name_H-M 'C 1 2/c 1'
_symmetry_Int_Tables_number 15
_symmetry_space_group_name_Hall '-C 2yc'
_cell_length_a 14.670
_cell_length_b 14.169
_cell_length_c 7.754
_cell_angle_alpha 90.00
_cell_angle_beta 103.64
_cell_angle_gamma 90.00
loop_
_atom_site_label
_atom_site_type_symbol
_atom_site_fract_x
_atom_site_fract_y
_atom_site_fract_z
Cs1 Cs 0.000 0.182 0.250
K1 K 0.000 0.397 0.750
Fe1 Fe 0.214 0.083 0.763
Br1 Br 0.117 0.414 0.168
Br2 Br 0.148 0.027 0.015
Br3 Br 0.151 0.237 0.681

Record 15
# Cs2KFeBr6 GGA-PBE optimized geometry
# D(E_F): 9.8 states/eV/f.u.
# Formation energy (no corrections): -1.159 eV/atom
# VASP energy: -3.29 eV per atom
# Crystal system: cubic
data_Cs2KFeBr6
_symmetry_space_group_name_H-M 'F m -3 m'
_symmetry_Int_Tables_number 225
_symmetry_space_group_name_Hall '-F 4 2 3'
_cell_length_a 11.271
_cell_length_b 11.271
_cell_length_c 11.271
_cell_angle_alpha 90.00
_cell_angle_beta 90.00
_cell_angle_gamma 90.00
loop_
_atom_site_label
_atom_site_type_symbol
_atom_site_fract_x
_atom_site_fract_y
_atom_site_fract_z
Cs1 Cs 0.250 0.250 0.250
K1 K 0.000 0.000 0.000
Fe1 Fe 0.000 0.000 0.500
Br1 Br 0.000 0.000 0.282

Record 16
# CsLaFeBr6 GGA-PBE optimized geometry
# D(E_F): 6.8 states/eV/f.u.
# Formation energy (no corrections): -1.408 eV/atom
# VASP energy: -4.11 eV per atom
# Crystal system: triclinic
data_CsLaFeBr6
_symmetry_space_group_name_H-M 'P 1'
_symmetry_Int_Tables_number 1
_symmetry_space_group_name_Hall 'P 1'
_cell_length_a 7.317
_cell_length_b 7.325
_cell_length_c 8.128
_cell_angle_alpha 89.90
_cell_angle_beta 89.92
_cell_angle_gamma 60.06
loop_
_atom_site_label
_atom_site_type_symbol
_atom_site_fract_x
_atom_site_fract_y
_atom_site_fract_z
Cs1 Cs 0.000 0.000 0.000
La1 La 0.334 0.332 0.500
Fe1 Fe 0.667 0.666 0.500
Br1 Br 0.386 0.644 0.305
Br2 Br 0.390 0.970 0.698
Br3 Br 0.641 0.970 0.302
Br4 Br 0.643 0.387 0.696
Br5 Br 0.970 0.388 0.304
Br6 Br 0.970 0.644 0.695

Record 17
# CsLaFe2Br8 GGA-PBE optimized geometry
# D(E_F): 13.9 states/eV/f.u.
# Formation energy (no corrections): -1.136 eV/atom
# VASP energy: -4.14 eV per atom
# Crystal system: monoclinic
data_CsLaFe2Br8
_symmetry_space_group_name_H-M 'C 1 2/m 1'
_symmetry_Int_Tables_number 12
_symmetry_space_group_name_Hall '-C 2y'
_cell_length_a 11.500
_cell_length_b 7.915
_cell_length_c 10.774
_cell_angle_alpha 90.00
_cell_angle_beta 97.23
_cell_angle_gamma 90.00
loop_
_atom_site_label
_atom_site_type_symbol
_atom_site_fract_x
_atom_site_fract_y
_atom_site_fract_z
Cs1 Cs 0.000 0.000 0.000
La1 La 0.000 0.000 0.500
Fe1 Fe 0.116 0.500 0.287
Br1 Br 0.018 0.253 0.706
Br2 Br 0.190 0.500 0.093
Br3 Br 0.242 0.500 0.488